Below is crystalline Ac5Co2Pd at its relaxed geometry, with properties calculated at the PBE level.

Cell lengths 5.8455, 7.3230, 14.6235 Å; angles 90.00, 90.00, 113.52 degrees
Last column: nearest neighbours and their distance in Å.
Element x y z (fractional)
Ac 0.3351 0.6702 0.4431  3 Co 2.93-3.03, 1 Pd 3.19
Ac 0.3351 0.6702 0.0569  3 Co 2.93-3.03, 1 Pd 3.19
Ac 0.0484 0.0969 0.3835  2 Co 2.75-2.83, 1 Pd 3.07
Ac 0.0484 0.0969 0.1165  2 Co 2.75-2.83, 1 Pd 3.07
Ac 0.2347 0.4694 0.7500  2 Pd 2.97, 2 Co 3.09
Ac 0.7653 0.5306 0.2500  2 Pd 2.97, 2 Co 3.09
Ac 0.9516 0.9031 0.8835  2 Co 2.75-2.83, 1 Pd 3.07
Ac 0.9516 0.9031 0.6165  2 Co 2.75-2.83, 1 Pd 3.07
Ac 0.6649 0.3298 0.5569  3 Co 2.93-3.03, 1 Pd 3.19
Ac 0.6649 0.3298 0.9431  3 Co 2.93-3.03, 1 Pd 3.19
Co 0.1455 0.2910 0.9445  5 Ac 2.75-3.03
Co 0.1455 0.2910 0.5555  5 Ac 2.75-3.03
Co 0.8545 0.7090 0.4445  5 Ac 2.75-3.03
Co 0.8545 0.7090 0.0555  5 Ac 2.75-3.03
Pd 0.2245 0.4491 0.2500  6 Ac 2.97-3.19
Pd 0.7755 0.5509 0.7500  6 Ac 2.97-3.19

Results
Calculated formation energy   -0.1407 eV/atom
Electronic total energy   -5.1340 eV/atom
Calculated volume   574.0 Å³/cell

Below is crystalline Ac12Co5Pd2 at its relaxed geometry, with properties calculated at the PBE level.

Cell lengths 7.9486, 8.8002, 10.3981 Å; angles 104.86, 90.00, 116.85 degrees
Last column: nearest neighbours and their distance in Å.
Element x y z (fractional)
Ac 0.9158 0.8316 0.1965  2 Co 3.05-3.15, 2 Pd 3.15
Ac 0.0594 0.6158 0.8473  3 Co 2.85-3.01, 1 Pd 3.01
Ac 0.5564 0.6158 0.8473  3 Co 2.85-3.01, 1 Pd 3.01
Ac 0.1205 0.7437 0.5051  3 Co 2.83-3.08
Ac 0.6233 0.7437 0.5051  3 Co 2.83-3.08
Ac 0.5455 0.0910 0.8290  1 Co 2.85
Ac 0.4545 0.9090 0.1710  1 Co 2.85
Ac 0.8795 0.2563 0.4949  3 Co 2.83-3.08
Ac 0.3767 0.2563 0.4949  3 Co 2.83-3.08
Ac 0.9406 0.3842 0.1527  3 Co 2.85-3.01, 1 Pd 3.01
Ac 0.4436 0.3842 0.1527  3 Co 2.85-3.01, 1 Pd 3.01
Ac 0.0842 0.1684 0.8035  2 Co 3.05-3.15, 2 Pd 3.15
Co 0.2800 0.5599 0.6206  6 Ac 2.92-3.08
Co 0.2712 0.5423 0.0211  6 Ac 2.85-3.15
Co 0.0000 0.0000 0.5000  6 Ac 2.83-3.05
Co 0.7288 0.4577 0.9789  6 Ac 2.85-3.15
Co 0.7200 0.4401 0.3794  6 Ac 2.92-3.08
Pd 0.8045 0.0000 0.0000  6 Ac 3.01-3.20, 1 Pd 3.11
Pd 0.1955 0.0000 0.0000  6 Ac 3.01-3.20, 1 Pd 3.11

Results
Calculated formation energy   -0.1193 eV/atom
Electronic total energy   -5.1307 eV/atom
Calculated volume   621.6 Å³/cell

Q: The lowest calculated volume belongs to which entry?
A: Ac5Co2Pd

Q: Which of these has the highest electronic total energy?
A: Ac12Co5Pd2

Q: The lowest calculated formation energy belongs to which entry?
A: Ac5Co2Pd